(1)
VASP calculation (GGA-PBEsol) on a geometry-optimized LaCdAs2Br structure. Values from VASP.

Total moment   0.254 Bohr magnetons per cell
Formation energy (no corrections)   0.14 eV per atom

```
&SYSTEM
  ibrav = 0, nat = 5, ntyp = 4
/
ATOMIC_SPECIES
La 138.91 La.upf
Cd 112.41 Cd.upf
As 74.92 As.upf
Br 79.90 Br.upf
CELL_PARAMETERS angstrom
5.678 0.000 0.000
0.000 5.678 0.000
0.000 0.000 5.621
ATOMIC_POSITIONS crystal
La 0.000 0.000 0.000
Cd 0.500 0.500 0.500
As 0.000 0.500 0.000
As 0.500 0.000 0.000
Br 0.000 0.000 0.500
```

(2)
VASP calculation (GGA-PBEsol) on a geometry-optimized CdCu2As structure. Values from VASP.

Total moment   0.000 Bohr magnetons per cell
DFT total energy   -3.4372 eV per atom

```
&SYSTEM
  ibrav = 0, nat = 4, ntyp = 3
/
ATOMIC_SPECIES
Cd 112.41 Cd.upf
Cu 63.55 Cu.upf
As 74.92 As.upf
CELL_PARAMETERS angstrom
0.000 3.152 3.152
3.152 0.000 3.152
3.152 3.152 0.000
ATOMIC_POSITIONS crystal
Cd 0.000 0.000 0.000
Cu 0.250 0.250 0.250
Cu 0.500 0.500 0.500
As 0.750 0.750 0.750
```